Compound: SrTl5
Source: Alexandria via LeMat-Bulk
Functional: PBE
Structure: relaxed

Properties
distance to the lowest polymorph of the same formula	3.0	kJ per mole of atoms
ρ	9.75	Mg/m³
size of the total moment	0.00	Bohr magnetons per cell

Cell: 6.1328 7.0993 10.7032 Å, 90.00 90.00 125.82°
Fractional coordinates of all 12 atoms:
Tl: 0.7570 0.4875 0.5830
Tl: 0.2542 0.9769 0.7500
Tl: 0.2430 0.5125 0.0830
Tl: 0.7458 0.0231 0.2500
Tl: 0.2520 0.0154 0.4259
Tl: 0.7480 0.9846 0.5741
Tl: 0.7570 0.4875 0.9170
Tl: 0.2430 0.5125 0.4170
Tl: 0.2520 0.0154 0.0741
Tl: 0.7480 0.9846 0.9259
Sr: 0.2548 0.4735 0.7500
Sr: 0.7452 0.5265 0.2500